Record 1
The following is a DFT calculation (PBE-GGA) of a relaxed Rb2TbOs3O12 crystal.

Cell lengths 7.3427, 7.3427, 18.7686 Å; angles 90.00, 90.00, 120.00 degrees
With the nearest neighbours (Å) after each atom.
Space group R-3m (No. 166, hexagonal axes)
Symmetry-distinct sites (fractional):
Rb 0.0000 0.0000 0.1198  6 O 3.19-3.35
Tb 0.0000 0.0000 0.5000  6 O 2.26
Os 0.0000 0.5000 0.0000  6 O 1.87-1.92
O 0.0385 0.5192 0.0990  1 Os 1.87
O 0.0805 0.5402 0.3428  2 Os 1.92

Computed properties:
* formation energy (no corrections): -1.49 eV/atom


Record 2
The following is a DFT calculation (PBE-GGA) of a relaxed Be2PBr crystal.

Cell lengths 3.3342, 3.2838, 6.0772 Å; angles 90.00, 94.38, 90.00 degrees
With the nearest neighbours (Å) after each atom.
Space group P2/m (No. 10)
Symmetry-distinct sites (fractional):
Be 0.1938 0.0000 0.3282  2 P 2.16
P 0.5000 0.5000 0.5000  4 Be 2.16
Br 0.0000 0.5000 0.0000  4 Be 2.63

Computed properties:
* offset from the most stable computed form: 651 meV/atom
* formation energy (no corrections): 0.25 eV/atom


The records above give, respectively, spin magnetization values of 2.2, 0.0 μB/f.u..